1.
# Tb3SmTl5, optimized geometry, DFT PBE
# * N(E_F): 8.04 states/eV/f.u.
# * SG: No. 193
data_Tb3SmTl5
_chemical_formula_sum 'Tb6 Sm2 Tl10'
_cell_length_a 9.423
_cell_length_b 9.423
_cell_length_c 6.588
_cell_angle_alpha 90.00
_cell_angle_beta 90.00
_cell_angle_gamma 120.00
_symmetry_space_group_name_H-M 'P 1'
_symmetry_Int_Tables_number 1
_symmetry_space_group_name_Hall 'P 1'
loop_
_atom_site_label
_atom_site_fract_x
_atom_site_fract_y
_atom_site_fract_z
_atom_site_occupancy
Tb1 0.000 0.368 0.250 1
Tb2 0.000 0.632 0.750 1
Tb3 0.368 0.000 0.250 1
Tb4 0.368 0.368 0.750 1
Tb5 0.632 0.000 0.750 1
Tb6 0.632 0.632 0.250 1
Sm1 0.000 0.000 0.000 1
Sm2 0.000 0.000 0.500 1
Tl1 0.000 0.302 0.750 1
Tl2 0.000 0.698 0.250 1
Tl3 0.302 0.000 0.750 1
Tl4 0.302 0.302 0.250 1
Tl5 0.333 0.667 0.000 1
Tl6 0.333 0.667 0.500 1
Tl7 0.667 0.333 0.000 1
Tl8 0.667 0.333 0.500 1
Tl9 0.698 0.000 0.250 1
Tl10 0.698 0.698 0.750 1



2.
# Tb3Sm2Tl3, optimized geometry, DFT PBE
# * N(E_F): 7.91 states/eV/f.u.
# * SG: No. 71
data_Tb3Sm2Tl3
_chemical_formula_sum 'Tb3 Sm2 Tl3'
_cell_length_a 10.911
_cell_length_b 10.911
_cell_length_c 10.911
_cell_angle_alpha 156.34
_cell_angle_beta 153.65
_cell_angle_gamma 35.70
_symmetry_space_group_name_H-M 'P 1'
_symmetry_Int_Tables_number 1
_symmetry_space_group_name_Hall 'P 1'
loop_
_atom_site_label
_atom_site_fract_x
_atom_site_fract_y
_atom_site_fract_z
_atom_site_occupancy
Tb1 0.000 0.000 0.000 1
Tb2 0.382 0.882 0.500 1
Tb3 0.618 0.118 0.500 1
Sm1 0.238 0.238 0.000 1
Sm2 0.762 0.762 0.000 1
Tl1 0.125 0.625 0.500 1
Tl2 0.500 0.500 0.000 1
Tl3 0.875 0.375 0.500 1



no.,VASP energy (eV per atom)
1,-3.6854
2,-4.0600